# 1
A plane-wave DFT calculation with PBE was carried out for crystalline LaTbSc2Tl4 at its relaxed geometry. Values from VASP.

Properties
* DFT formation energy: -7.0 kcal/mol of atoms
* total moment: 0.00 Bohr magnetons per cell
* raw total energy: -34.1 eV per cell

Geometry as Quantum ESPRESSO input:
```
&SYSTEM
  ibrav = 0, nat = 8, ntyp = 4
/
ATOMIC_SPECIES
La 138.91 La.upf
Tb 158.93 Tb.upf
Sc 44.96 Sc.upf
Tl 204.38 Tl.upf
CELL_PARAMETERS angstrom
5.315 0.000 0.000
2.657 4.603 0.000
2.657 1.534 8.725
ATOMIC_POSITIONS crystal
La 0.000 0.000 0.000
Tb 0.500 0.500 0.500
Sc 0.750 0.750 0.749
Sc 0.250 0.250 0.251
Tl 0.378 0.378 0.867
Tl 0.873 0.873 0.382
Tl 0.127 0.127 0.618
Tl 0.622 0.622 0.133
```

***

# 2
A plane-wave DFT calculation with PBE was carried out for crystalline Re3NiPd at its relaxed geometry. Values from VASP.

Properties
* DFT formation energy: 38.5 kcal/mol of atoms
* total moment: 0.00 Bohr magnetons per cell
* raw total energy: -40.0 eV per cell

Geometry as Quantum ESPRESSO input:
```
&SYSTEM
  ibrav = 0, nat = 5, ntyp = 3
/
ATOMIC_SPECIES
Re 186.21 Re.upf
Pd 106.42 Pd.upf
Ni 58.69 Ni.upf
CELL_PARAMETERS angstrom
4.392 0.000 0.000
0.000 4.392 0.000
0.000 0.000 4.392
ATOMIC_POSITIONS crystal
Re 0.000 0.500 0.000
Re 0.000 0.000 0.500
Re 0.500 0.000 0.000
Pd 0.500 0.500 0.500
Ni 0.000 0.000 0.000
```

***

# 3
A plane-wave DFT calculation with PBE was carried out for crystalline YHo3Tm2Te6 at its relaxed geometry. Values from VASP.

Properties
* formation energy without anion corrections: -1.23 eV/atom
* total moment: 0.00 Bohr magnetons per cell
* raw total energy: -62.8 eV per cell

Geometry as Quantum ESPRESSO input:
```
&SYSTEM
  ibrav = 0, nat = 12, ntyp = 4
/
ATOMIC_SPECIES
Y 88.91 Y.upf
Ho 164.93 Ho.upf
Tm 168.93 Tm.upf
Te 127.60 Te.upf
CELL_PARAMETERS angstrom
-2.048 -0.763 3.717
-1.774 -8.095 -2.638
9.347 -0.459 2.556
ATOMIC_POSITIONS crystal
Y 0.500 0.000 0.000
Ho 0.500 0.500 0.000
Ho 0.836 0.168 0.673
Ho 0.164 0.832 0.327
Tm 0.835 0.670 0.670
Tm 0.165 0.330 0.330
Te 0.331 0.914 0.662
Te 0.668 0.581 0.337
Te 0.669 0.086 0.338
Te 0.001 0.253 0.003
Te 0.999 0.747 0.997
Te 0.332 0.419 0.663
```

***

# 4
A plane-wave DFT calculation with PBE was carried out for crystalline Tb3NiB2Pt9 at its relaxed geometry. Values from VASP.

Properties
* DFT formation energy: -18.3 kcal/mol of atoms
* total moment: 0.00 Bohr magnetons per cell
* raw total energy: -99.3 eV per cell

Geometry as Quantum ESPRESSO input:
```
&SYSTEM
  ibrav = 0, nat = 15, ntyp = 4
/
ATOMIC_SPECIES
Tb 158.93 Tb.upf
Ni 58.69 Ni.upf
B 10.81 B.upf
Pt 195.08 Pt.upf
CELL_PARAMETERS angstrom
5.713 0.000 0.000
-2.856 4.947 0.000
0.000 0.000 9.196
ATOMIC_POSITIONS crystal
Tb 0.333 0.667 0.595
Tb 0.000 0.000 0.000
Tb 0.667 0.333 0.405
Ni 0.000 0.000 0.500
B 0.333 0.667 0.152
B 0.667 0.333 0.848
Pt 0.837 0.163 0.712
Pt 0.837 0.674 0.712
Pt 0.326 0.163 0.712
Pt 0.674 0.837 0.288
Pt 0.163 0.326 0.288
Pt 0.163 0.837 0.288
Pt 0.500 0.000 0.000
Pt 0.000 0.500 0.000
Pt 0.500 0.500 0.000
```

***

# 5
A plane-wave DFT calculation with PBE was carried out for crystalline V2GeS4 at its relaxed geometry. Values from VASP.

Properties
* formation energy without anion corrections: -0.65 eV/atom
* total moment: 8.02 Bohr magnetons per cell
* raw total energy: -87.8 eV per cell

Geometry as Quantum ESPRESSO input:
```
&SYSTEM
  ibrav = 0, nat = 14, ntyp = 3
/
ATOMIC_SPECIES
V 50.94 V.upf
Ge 72.64 Ge.upf
S 32.06 S.upf
CELL_PARAMETERS angstrom
6.333 -0.030 3.589
-2.020 6.002 3.589
0.032 0.045 7.229
ATOMIC_POSITIONS crystal
V 0.500 0.500 0.500
V 0.500 0.000 0.500
V 0.000 0.000 0.000
V 0.500 0.000 0.000
Ge 0.876 0.624 0.750
Ge 0.124 0.376 0.250
S 0.263 0.790 0.974
S 0.737 0.210 0.026
S 0.290 0.763 0.474
S 0.264 0.237 0.526
S 0.263 0.236 0.974
S 0.736 0.763 0.474
S 0.710 0.237 0.526
S 0.737 0.764 0.026
```

***

# 6
A plane-wave DFT calculation with PBE was carried out for crystalline IrPd5Se12 at its relaxed geometry. Values from VASP.

Properties
* formation energy without anion corrections: -0.27 eV/atom
* total moment: 0.00 Bohr magnetons per cell
* raw total energy: -81.4 eV per cell

Geometry as Quantum ESPRESSO input:
```
&SYSTEM
  ibrav = 0, nat = 18, ntyp = 3
/
ATOMIC_SPECIES
Ir 192.22 Ir.upf
Pd 106.42 Pd.upf
Se 78.96 Se.upf
CELL_PARAMETERS angstrom
-0.950 4.384 -4.748
3.763 -0.112 -5.349
-6.567 -8.145 -3.046
ATOMIC_POSITIONS crystal
Ir 0.000 0.000 0.000
Pd 0.500 0.000 0.500
Pd 0.167 0.667 0.500
Pd 0.833 0.333 0.500
Pd 0.667 0.666 0.000
Pd 0.333 0.334 0.000
Se 0.791 0.000 0.378
Se 0.209 0.000 0.622
Se 0.628 0.000 0.880
Se 0.372 0.000 0.120
Se 0.287 0.671 0.880
Se 0.043 0.671 0.120
Se 0.957 0.329 0.880
Se 0.713 0.329 0.120
Se 0.543 0.333 0.622
Se 0.876 0.667 0.622
Se 0.124 0.333 0.378
Se 0.457 0.667 0.378
```

***

# 7
A plane-wave DFT calculation with PBE was carried out for crystalline GaCuNi2Sn at its relaxed geometry. Values from VASP.

Properties
* DFT formation energy: 16.5 kcal/mol of atoms
* total moment: 0.00 Bohr magnetons per cell
* raw total energy: -19.1 eV per cell

Geometry as Quantum ESPRESSO input:
```
&SYSTEM
  ibrav = 0, nat = 5, ntyp = 4
/
ATOMIC_SPECIES
Ni 58.69 Ni.upf
Cu 63.55 Cu.upf
Sn 118.71 Sn.upf
Ga 69.72 Ga.upf
CELL_PARAMETERS angstrom
-1.494 2.910 -3.073
-4.382 -1.359 0.844
-0.368 3.157 3.169
ATOMIC_POSITIONS crystal
Ni 0.000 0.000 0.500
Ni 0.500 0.000 0.000
Cu 0.000 0.000 0.000
Sn 0.000 0.500 0.000
Ga 0.500 0.500 0.500
```

***

# 8
A plane-wave DFT calculation with PBE was carried out for crystalline Sr3SnBi3 at its relaxed geometry. Values from VASP.

Properties
* DFT formation energy: -15.8 kcal/mol of atoms
* total moment: 0.00 Bohr magnetons per cell
* raw total energy: -102.0 eV per cell

Geometry as Quantum ESPRESSO input:
```
&SYSTEM
  ibrav = 0, nat = 28, ntyp = 3
/
ATOMIC_SPECIES
Sr 87.62 Sr.upf
Sn 118.71 Sn.upf
Bi 208.98 Bi.upf
CELL_PARAMETERS angstrom
-3.155 3.801 1.884
-6.904 0.056 -11.678
-9.233 -10.346 5.409
ATOMIC_POSITIONS crystal
Sr 0.750 0.718 0.773
Sr 0.250 0.782 0.273
Sr 0.250 0.282 0.227
Sr 0.750 0.218 0.727
Sr 0.750 0.147 0.012
Sr 0.250 0.353 0.512
Sr 0.250 0.853 0.988
Sr 0.750 0.647 0.488
Sr 0.750 0.948 0.612
Sr 0.250 0.552 0.112
Sr 0.250 0.052 0.388
Sr 0.750 0.448 0.888
Sn 0.750 0.940 0.188
Sn 0.250 0.560 0.688
Sn 0.250 0.060 0.812
Sn 0.750 0.440 0.312
Bi 0.750 0.962 0.849
Bi 0.250 0.538 0.349
Bi 0.250 0.038 0.151
Bi 0.750 0.462 0.651
Bi 0.750 0.885 0.387
Bi 0.250 0.615 0.887
Bi 0.250 0.115 0.613
Bi 0.750 0.385 0.113
Bi 0.750 0.736 0.105
Bi 0.250 0.764 0.605
Bi 0.250 0.264 0.895
Bi 0.750 0.236 0.395
```

***

# 9
A plane-wave DFT calculation with PBE was carried out for crystalline NaPmO2 at its relaxed geometry. Values from VASP.

Properties
* formation energy without anion corrections: -2.58 eV/atom
* total moment: 0.00 Bohr magnetons per cell
* raw total energy: -26.3 eV per cell

Geometry as Quantum ESPRESSO input:
```
&SYSTEM
  ibrav = 0, nat = 4, ntyp = 3
/
ATOMIC_SPECIES
Na 22.99 Na.upf
Pm 145.00 Pm.upf
O 16.00 O.upf
CELL_PARAMETERS angstrom
-0.158 -0.419 3.502
2.960 0.071 1.922
0.352 5.769 2.486
ATOMIC_POSITIONS crystal
Na 0.492 0.492 0.523
Pm 0.668 0.668 0.997
O 0.072 0.072 0.783
O 0.267 0.267 0.198
```

***

# 10
A plane-wave DFT calculation with PBE was carried out for crystalline BaSr at its relaxed geometry. Values from VASP.

Properties
* DFT formation energy: 3.6 kcal/mol of atoms
* total moment: 0.00 Bohr magnetons per cell
* raw total energy: -26.4 eV per cell

Geometry as Quantum ESPRESSO input:
```
&SYSTEM
  ibrav = 0, nat = 16, ntyp = 2
/
ATOMIC_SPECIES
Ba 137.33 Ba.upf
Sr 87.62 Sr.upf
CELL_PARAMETERS angstrom
-14.921 -3.637 -0.006
2.742 -11.233 -10.108
0.641 -2.634 3.101
ATOMIC_POSITIONS crystal
Ba 0.389 0.335 0.000
Ba 0.611 0.665 0.000
Ba 0.665 0.389 0.000
Ba 0.335 0.611 0.000
Ba 0.889 0.835 0.500
Ba 0.111 0.165 0.500
Ba 0.165 0.889 0.500
Ba 0.835 0.111 0.500
Sr 0.414 0.862 0.000
Sr 0.586 0.138 0.000
Sr 0.138 0.414 0.000
Sr 0.862 0.586 0.000
Sr 0.914 0.362 0.500
Sr 0.086 0.638 0.500
Sr 0.638 0.914 0.500
Sr 0.362 0.086 0.500
```

***

# 11
A plane-wave DFT calculation with PBE was carried out for crystalline KLiZr2 at its relaxed geometry. Values from VASP.

Properties
* DFT formation energy: 14.1 kcal/mol of atoms
* total moment: 0.00 Bohr magnetons per cell
* raw total energy: -17.7 eV per cell

Geometry as Quantum ESPRESSO input:
```
&SYSTEM
  ibrav = 0, nat = 4, ntyp = 3
/
ATOMIC_SPECIES
K 39.10 K.upf
Li 6.94 Li.upf
Zr 91.22 Zr.upf
CELL_PARAMETERS angstrom
-2.758 -1.451 0.181
1.551 -2.398 4.397
-2.354 4.914 3.510
ATOMIC_POSITIONS crystal
K 0.500 0.000 0.500
Li 0.000 0.500 0.500
Zr 0.000 0.000 0.000
Zr 0.500 0.500 0.000
```